No. 1
Density functional theory data (GGA-PBE) for Pm4PrNd8 after structural relaxation.

Computed properties:
space-group type: R-3m, No. 166
energy of formation: 0.164 eV/atom
E_tot: -4.60 eV/atom

Cell lengths 7.5125, 7.5124, 10.3959 Å; angles 90.00, 111.18, 120.00 degrees
With the nearest neighbours (Å) after each atom.
Atoms (fractional coordinates):
Pm: 0.5000 0.5000 0.0000  6 Nd 3.67-3.95, 6 Pm 3.76
Nd: 0.9465 0.7508 0.6973  1 Pr 3.05, 2 Nd 3.34
Pm: 0.0000 0.5000 0.0000  6 Nd 3.67-3.95, 6 Pm 3.76
Nd: 0.5664 0.7832 0.3495  9 Nd 3.79-3.81, 3 Pm 3.95
Nd: 0.4983 0.2492 0.3027  1 Pr 3.05, 2 Nd 3.34
Pm: 0.0000 0.0000 0.0000  6 Nd 3.45, 6 Pm 3.76
Nd: 0.0535 0.8044 0.3027  1 Pr 3.05, 2 Nd 3.34
Pr: 0.0000 0.5000 0.5000  6 Nd 3.05
Nd: 0.4336 0.2168 0.6505  9 Nd 3.79-3.81, 3 Pm 3.95
Nd: 0.0535 0.2492 0.3027  1 Pr 3.05, 2 Nd 3.34
Pm: 0.5000 0.0000 0.0000  6 Nd 3.67-3.95, 6 Pm 3.76
Nd: 0.9465 0.1956 0.6973  1 Pr 3.05, 2 Nd 3.34
Nd: 0.5017 0.7508 0.6973  1 Pr 3.05, 2 Nd 3.34

***

No. 2
Density functional theory data (GGA-PBE) for Cd2SbAsPb after structural relaxation.

Computed properties:
space-group type: P2_1/m, No. 11
energy relative to the elements, uncorrected: 0.0 eV per formula unit
E_tot: -2.87 eV/atom

Cell lengths 4.6151, 7.3055, 8.7852 Å; angles 106.10, 90.00, 90.00 degrees
With the nearest neighbours (Å) after each atom.
Atoms (fractional coordinates):
Pb: 0.2500 0.9428 0.2197  3 As 3.01-3.29, 1 Sb 3.27
Cd: 0.2500 0.5400 0.8836  3 As 2.77-2.90, 1 Sb 2.98
As: 0.7500 0.7557 0.9546  4 Cd 2.77-2.91, 1 Pb 3.01
Sb: 0.7500 0.7656 0.4225  4 Cd 2.98-2.99, 1 Pb 3.27
Pb: 0.7500 0.0572 0.7803  3 As 3.01-3.29, 1 Sb 3.27
Cd: 0.7500 0.4600 0.1164  3 As 2.77-2.90, 1 Sb 2.98
Cd: 0.7500 0.5062 0.6325  1 As 2.91, 3 Sb 2.99, 2 Cd 3.15
Cd: 0.2500 0.4938 0.3675  1 As 2.91, 3 Sb 2.99, 2 Cd 3.15
Sb: 0.2500 0.2344 0.5775  4 Cd 2.98-2.99, 1 Pb 3.27
As: 0.2500 0.2443 0.0454  4 Cd 2.77-2.91, 1 Pb 3.01

***

What did the second record say?
Density functional theory data (GGA-PBE) for Cd2SbAsPb after structural relaxation.

Computed properties:
space-group type: P2_1/m, No. 11
energy relative to the elements, uncorrected: 0.0 eV per formula unit
E_tot: -2.87 eV/atom

Cell lengths 4.6151, 7.3055, 8.7852 Å; angles 106.10, 90.00, 90.00 degrees
With the nearest neighbours (Å) after each atom.
Atoms (fractional coordinates):
Pb: 0.2500 0.9428 0.2197  3 As 3.01-3.29, 1 Sb 3.27
Cd: 0.2500 0.5400 0.8836  3 As 2.77-2.90, 1 Sb 2.98
As: 0.7500 0.7557 0.9546  4 Cd 2.77-2.91, 1 Pb 3.01
Sb: 0.7500 0.7656 0.4225  4 Cd 2.98-2.99, 1 Pb 3.27
Pb: 0.7500 0.0572 0.7803  3 As 3.01-3.29, 1 Sb 3.27
Cd: 0.7500 0.4600 0.1164  3 As 2.77-2.90, 1 Sb 2.98
Cd: 0.7500 0.5062 0.6325  1 As 2.91, 3 Sb 2.99, 2 Cd 3.15
Cd: 0.2500 0.4938 0.3675  1 As 2.91, 3 Sb 2.99, 2 Cd 3.15
Sb: 0.2500 0.2344 0.5775  4 Cd 2.98-2.99, 1 Pb 3.27
As: 0.2500 0.2443 0.0454  4 Cd 2.77-2.91, 1 Pb 3.01

***

- E_tot of number 1 (Pm4PrNd8)?
  -4.60 eV/atom